# 1
LaPt3O, optimized geometry, DFT PBE; formation energy (no corrections) = -0.38 eV per atom; energy relative to the lowest polymorph listed for this composition = 0 meV per atom; V = 89.9 Å³/f.u.; magnetic moment = 0.000 μB per atom
1.0
-2.8455 -2.3458 2.5424
3.4149 -1.3794 2.5493
-0.5522 3.5578 2.6647
Pt La O
3 1 1
Direct
0.0000 0.0000 0.5000 Pt
0.5000 0.0000 0.0000 Pt
0.0000 0.5000 0.0000 Pt
0.5000 0.5000 0.5000 La
0.0000 0.0000 0.0000 O

=====

# 2
LaPt2O4, optimized geometry, DFT PBE; formation energy (no corrections) = -1.41 eV per atom; V = 115.1 Å³/f.u.; magnetic moment = 0.000 μB per atom
1.0
7.9675 -0.7536 -1.9735
-4.4380 5.4386 -1.4089
-0.4941 -0.1899 5.9987
O Pt La
8 4 2
Direct
0.8090 0.0110 0.6392 O
0.8759 0.6305 0.1577 O
0.8302 0.6282 0.6392 O
0.2818 0.5273 0.1577 O
0.3743 0.1197 0.3423 O
0.9680 0.2226 0.3423 O
0.4408 0.7388 0.8607 O
0.4199 0.1219 0.8607 O
0.6249 0.8749 0.2500 Pt
0.6251 0.3751 0.2500 Pt
0.1249 0.3749 0.7500 Pt
0.6251 0.3751 0.7500 Pt
0.0272 0.0271 0.0543 La
0.2229 0.7229 0.4458 La

=====

# 3
LaPt3O, optimized geometry, DFT PBE; formation energy (no corrections) = 1.59 eV per atom; energy relative to the lowest polymorph listed for this composition = 1974 meV per atom; V = 141.4 Å³/f.u.; magnetic moment = 0.000 μB per atom
1.0
5.2098 0.0000 0.0000
0.0000 5.2098 0.0000
0.0000 0.0000 5.2098
Pt O La
3 1 1
Direct
0.5000 0.0000 0.0000 Pt
0.0000 0.0000 0.5000 Pt
0.0000 0.5000 0.0000 Pt
0.5000 0.5000 0.5000 O
0.0000 0.0000 0.0000 La

=====

# 4
La4PtO5, optimized geometry, DFT PBE; formation energy (no corrections) = -2.76 eV per atom; V = 191.1 Å³/f.u.; magnetic moment = 0.000 μB per atom
1.0
-2.9471 -0.5419 2.4855
-0.2203 -6.9000 -1.7656
6.0802 2.2839 4.6582
O La Pt
5 4 1
Direct
0.5000 0.5000 0.0000 O
0.8310 0.6097 0.6620 O
0.1687 0.9450 0.3373 O
0.1690 0.3903 0.3380 O
0.8313 0.0550 0.6627 O
0.7222 0.2223 0.4445 La
0.0001 0.2832 0.0001 La
0.2778 0.7777 0.5555 La
0.9999 0.7168 0.9998 La
0.5000 0.0000 0.0000 Pt

=====

# 5
LaPtO, optimized geometry, DFT PBE; formation energy (no corrections) = -1.90 eV per atom; V = 54.9 Å³/f.u.; magnetic moment = 0.000 μB per atom
1.0
-0.4061 -1.5378 -3.1876
3.3062 1.1546 -0.9783
5.0467 -6.5804 2.5316
Pt La O
2 2 2
Direct
0.7500 0.4414 0.1171 Pt
0.2500 0.5586 0.8829 Pt
0.7500 0.1593 0.6815 La
0.2500 0.8407 0.3185 La
0.2500 0.6959 0.6082 O
0.7500 0.3041 0.3918 O

=====

# 6
La3PtO6, optimized geometry, DFT PBE; formation energy (no corrections) = -2.61 eV per atom; energy relative to the lowest polymorph listed for this composition = 12 meV per atom; V = 160.2 Å³/f.u.; magnetic moment = 0.100 μB per atom
1.0
5.7359 0.0000 0.0000
0.0000 7.5359 0.1536
0.0000 -1.5319 7.3802
O La Pt
12 6 2
Direct
0.1563 0.3876 0.8938 O
0.6563 0.6124 0.1062 O
0.1707 0.7815 0.2185 O
0.1993 0.3558 0.3340 O
0.7779 0.9768 0.0232 O
0.6707 0.2185 0.7815 O
0.1993 0.6660 0.6442 O
0.1563 0.1062 0.6124 O
0.6993 0.6442 0.6660 O
0.2779 0.0232 0.9768 O
0.6993 0.3340 0.3558 O
0.6563 0.8938 0.3876 O
0.9228 0.6068 0.3932 La
0.4228 0.3932 0.6068 La
0.4675 0.9080 0.6699 La
0.4675 0.3301 0.0920 La
0.9675 0.0920 0.3301 La
0.9675 0.6699 0.9080 La
0.4677 0.8734 0.1266 Pt
0.9677 0.1266 0.8734 Pt

=====

# 7
La3Pt3O11, optimized geometry, DFT PBE; formation energy (no corrections) = -1.88 eV per atom; V = 221.3 Å³/f.u.; magnetic moment = 0.000 μB per atom
1.0
-8.5229 -3.7332 -2.3716
-1.8482 -1.6716 9.2732
-4.0182 8.6874 0.7652
O Pt La
44 12 12
Direct
0.7111 0.6680 0.9976 O
0.1680 0.4976 0.7889 O
0.4976 0.7889 0.1680 O
0.5000 0.5000 0.1405 O
0.8946 0.8946 0.1054 O
0.5000 0.5000 0.8595 O
0.0024 0.2889 0.6680 O
0.5024 0.7889 0.8320 O
0.5024 0.2111 0.1680 O
0.7889 0.8320 0.5024 O
0.0000 0.0000 0.6405 O
0.2111 0.1680 0.5024 O
0.1054 0.8946 0.8946 O
0.0000 0.0000 0.3595 O
0.7889 0.1680 0.4976 O
0.6680 0.9976 0.7111 O
0.1405 0.5000 0.5000 O
0.0000 0.3595 0.0000 O
0.2889 0.6680 0.0024 O
0.1680 0.5024 0.2111 O
0.6680 0.0024 0.2889 O
0.3946 0.3946 0.3946 O
0.8320 0.5024 0.7889 O
0.9976 0.2889 0.3320 O
0.5000 0.1405 0.5000 O
0.8320 0.4976 0.2111 O
0.5000 0.8595 0.5000 O
0.9976 0.7111 0.6680 O
0.1054 0.1054 0.1054 O
0.0000 0.6405 0.0000 O
0.7111 0.3320 0.0024 O
0.2111 0.8320 0.4976 O
0.6054 0.6054 0.3946 O
0.2889 0.3320 0.9976 O
0.8595 0.5000 0.5000 O
0.6054 0.3946 0.6054 O
0.3320 0.0024 0.7111 O
0.3946 0.6054 0.6054 O
0.0024 0.7111 0.3320 O
0.3320 0.9976 0.2889 O
0.4976 0.2111 0.8320 O
0.6405 0.0000 0.0000 O
0.8946 0.1054 0.8946 O
0.3595 0.0000 0.0000 O
0.5000 0.0000 0.8427 Pt
0.5000 0.0000 0.1573 Pt
0.5000 0.3427 0.0000 Pt
0.3427 0.0000 0.5000 Pt
0.6573 0.0000 0.5000 Pt
0.8427 0.5000 0.0000 Pt
0.5000 0.6573 0.0000 Pt
0.0000 0.1573 0.5000 Pt
0.0000 0.5000 0.6573 Pt
0.0000 0.8427 0.5000 Pt
0.1573 0.5000 0.0000 Pt
0.0000 0.5000 0.3427 Pt
0.3649 0.6351 0.3649 La
0.7500 0.7500 0.2500 La
0.2500 0.2500 0.2500 La
0.1351 0.1351 0.8649 La
0.8649 0.1351 0.1351 La
0.3649 0.3649 0.6351 La
0.6351 0.6351 0.6351 La
0.2500 0.7500 0.7500 La
0.6351 0.3649 0.3649 La
0.1351 0.8649 0.1351 La
0.8649 0.8649 0.8649 La
0.7500 0.2500 0.7500 La

=====

# 8
La4Pt2O, optimized geometry, DFT PBE; formation energy (no corrections) = -1.45 eV per atom; V = 182.1 Å³/f.u.; magnetic moment = 0.000 μB per atom
1.0
4.9146 0.0000 0.0000
0.0000 4.9146 0.0000
-2.4573 -2.4573 7.5398
Pt La O
2 4 1
Direct
0.6300 0.6300 0.2600 Pt
0.3700 0.3700 0.7400 Pt
0.8131 0.8131 0.6261 La
0.1869 0.1869 0.3739 La
0.5000 0.0000 0.0000 La
0.0000 0.5000 0.0000 La
0.0000 0.0000 0.0000 O

=====

# 9
La3PtO6, optimized geometry, DFT PBE; formation energy (no corrections) = -2.62 eV per atom; energy relative to the lowest polymorph listed for this composition = 0 meV per atom; V = 158.3 Å³/f.u.; magnetic moment = 0.100 μB per atom
1.0
-5.1450 3.4004 3.0767
-1.3369 -6.2706 2.5283
5.0505 1.7418 4.3541
O La Pt
12 6 2
Direct
0.9515 0.0581 0.2963 O
0.0581 0.2963 0.9515 O
0.5613 0.8106 0.4135 O
0.4387 0.1894 0.5865 O
0.2963 0.9515 0.0581 O
0.0485 0.9419 0.7037 O
0.7037 0.0485 0.9419 O
0.4135 0.5613 0.8106 O
0.1894 0.5865 0.4387 O
0.5865 0.4387 0.1894 O
0.9419 0.7037 0.0485 O
0.8106 0.4135 0.5613 O
0.8860 0.7188 0.4019 La
0.5981 0.1140 0.2812 La
0.1140 0.2812 0.5981 La
0.7188 0.4019 0.8860 La
0.4019 0.8860 0.7188 La
0.2812 0.5981 0.1140 La
0.0000 0.0000 0.0000 Pt
0.5000 0.5000 0.5000 Pt

=====

# 10
LaPt2O, optimized geometry, DFT PBE; formation energy (no corrections) = -0.54 eV per atom; V = 86.5 Å³/f.u.; magnetic moment = 0.000 μB per atom
1.0
-3.9706 2.8414 -0.9515
-2.9927 -3.6809 1.4965
-3.2699 2.0635 6.8040
La O Pt
2 2 4
Direct
0.0000 0.0000 0.0000 La
0.7500 0.2500 0.5000 La
0.2500 0.7500 0.5000 O
0.5000 0.5000 0.0000 O
0.3750 0.5227 0.7500 Pt
0.4773 0.1250 0.2500 Pt
0.2727 0.6250 0.2500 Pt
0.8750 0.7273 0.7500 Pt

=====

# 11
La3PtO, optimized geometry, DFT PBE; formation energy (no corrections) = -1.42 eV per atom; energy relative to the lowest polymorph listed for this composition = 0 meV per atom; V = 121.4 Å³/f.u.; magnetic moment = 0.000 μB per atom
1.0
4.9518 0.0000 0.0000
0.0000 4.9518 0.0000
0.0000 0.0000 4.9518
La O Pt
3 1 1
Direct
0.0000 0.5000 0.0000 La
0.0000 0.0000 0.5000 La
0.5000 0.0000 0.0000 La
0.0000 0.0000 0.0000 O
0.5000 0.5000 0.5000 Pt

=====

# 12
La4Pt6O19, optimized geometry, DFT PBE; formation energy (no corrections) = -1.58 eV per atom; V = 382.7 Å³/f.u.; magnetic moment = 0.039 μB per atom
1.0
7.4690 0.0000 -2.6407
-3.7345 6.4683 -2.6407
0.0000 0.0000 7.9220
O Pt La
19 6 4
Direct
0.6432 0.6824 0.3907 O
0.7475 0.0392 0.3568 O
0.3568 0.7475 0.0392 O
0.3176 0.9608 0.7083 O
0.0000 0.0000 0.0000 O
0.2917 0.2525 0.6093 O
0.0000 0.3402 0.3402 O
0.7083 0.3176 0.9608 O
0.6093 0.2917 0.2525 O
0.3907 0.6432 0.6824 O
0.6598 0.6598 0.0000 O
0.9608 0.7083 0.3176 O
0.0392 0.3568 0.7475 O
0.3402 0.3402 0.0000 O
0.6824 0.3907 0.6432 O
0.6598 0.0000 0.6598 O
0.0000 0.6598 0.6598 O
0.3402 0.0000 0.3402 O
0.2525 0.6093 0.2917 O
0.3408 0.5000 0.8408 Pt
0.1592 0.6592 0.5000 Pt
0.5000 0.1592 0.6592 Pt
0.5000 0.8408 0.3408 Pt
0.8408 0.3408 0.5000 Pt
0.6592 0.5000 0.1592 Pt
0.6821 0.0000 0.0000 La
0.0000 0.6821 0.0000 La
0.0000 0.0000 0.6821 La
0.3179 0.3179 0.3179 La